Density functional theory data (PBE+U) for crystalline LiMnSnO4 at its relaxed geometry.

Properties
The calculation puts the energy above the lowest structure with this stoichiometry at 0.0 kJ/mol of atoms. For the volume, the calculation gives 12.1 Å³ per atom. The mass density comes out at 4806 kg/m³. Its calculated total energy is -6.478 eV per atom. As for the crystal system: orthorhombic.

Lattice parameters (Å, degrees): 5.918 6.222 6.285 119.67 118.08 90.00
Fractional coordinates of all 14 atoms:
Li (0.368, 0.118, 0.235)
Li (0.632, 0.882, 0.765)
Mn (0.500, 0.500, 0.000)
Mn (0.000, 0.500, 0.000)
Sn (0.000, 0.000, 0.500)
Sn (0.000, 0.500, 0.500)
O (0.766, 0.251, 0.501)
O (0.235, 0.251, 0.501)
O (0.765, 0.749, 0.499)
O (0.234, 0.749, 0.499)
O (0.233, 0.270, 0.966)
O (0.233, 0.697, 0.966)
O (0.767, 0.730, 0.034)
O (0.767, 0.303, 0.034)